CdCoAsO: optimized geometry, PBE with a Hubbard U.

Lattice parameters (Å, degrees): 4.0348 4.0348 9.3486 90.00 90.00 90.00
Space group P4/nmm (No. 129, origin choice 2)
Symmetry-distinct sites (fractional):
Cd 0.2500 0.7500 0.0000 (multiplicity 2)
Co 0.2500 0.2500 0.4587 (multiplicity 2)
As 0.2500 0.2500 0.1953 (multiplicity 2)
O 0.2500 0.7500 0.5000 (multiplicity 2)

Summary:
Spin magnetization in Bohr magnetons per cell: 5.59
ΔE to the lowest computed polymorph in kJ/mol of formula units: 52
Volume in Å³/f.u.: 76.10
Mass density in g/cm3: 5.723
Raw total energy in eV per atom: -4.123